No. 1
Compound: PaAg2Br8
Source: Alexandria via LeMat-Bulk
Functional: PBE
Structure: relaxed

Values from the calculation:
energy relative to the lowest polymorph listed for this composition	47	meV per atom

The structure in POSCAR format:
```
PaAg2Br8
1.0
7.098 0.000 3.133
2.984 10.390 2.846
-0.654 -0.087 11.090
Pa Br Ag
2 16 4
direct
0.058 0.750 0.250
0.942 0.250 0.750
0.282 0.800 0.604
0.226 0.936 0.199
0.731 0.933 0.201
0.098 0.210 0.493
0.269 0.067 0.799
0.801 0.290 0.007
0.902 0.790 0.507
0.134 0.433 0.701
0.199 0.710 0.993
0.686 0.700 0.896
0.640 0.436 0.699
0.360 0.564 0.301
0.314 0.300 0.104
0.866 0.567 0.299
0.718 0.200 0.396
0.774 0.064 0.801
0.817 0.791 0.016
0.376 0.291 0.516
0.624 0.709 0.484
0.183 0.209 0.984
```


No. 2
Compound: PaAg3Br9
Source: Alexandria via LeMat-Bulk
Functional: PBE
Structure: relaxed

The structure in POSCAR format:
```
PaAg3Br9
1.0
-4.771 6.219 -7.471
-1.115 -3.351 -9.924
-11.904 -1.175 -1.223
Pa Ag Br
2 6 18
direct
0.994 0.512 0.034
0.460 0.012 0.534
0.926 0.586 0.583
0.905 0.086 0.083
0.929 0.896 0.913
0.262 0.396 0.413
0.917 0.163 0.693
0.227 0.663 0.193
0.256 0.148 0.410
0.186 0.648 0.910
0.259 0.257 0.995
0.490 0.757 0.495
0.203 0.060 0.752
0.985 0.560 0.252
0.724 0.776 0.070
0.430 0.276 0.570
0.707 0.986 0.318
0.990 0.486 0.818
0.647 0.869 0.665
0.820 0.369 0.165
0.440 0.394 0.170
0.996 0.894 0.670
0.789 0.431 0.625
0.155 0.931 0.125
0.738 0.181 0.951
0.130 0.681 0.451
```


No. 3
Compound: PaAgBr4
Source: Alexandria via LeMat-Bulk
Functional: PBE
Structure: relaxed

The structure in POSCAR format:
```
PaAgBr4
1.0
6.460 0.000 0.000
0.000 6.460 0.000
-3.230 -3.230 5.792
Pa Ag Br
1 1 4
direct
0.500 0.500 0.000
0.750 0.250 0.500
0.363 0.878 0.256
0.893 0.378 0.256
0.122 0.107 0.744
0.622 0.637 0.744
```


No. 4
Compound: PaAg2Br6
Source: Alexandria via LeMat-Bulk
Functional: PBE
Structure: relaxed

The structure in POSCAR format:
```
PaAg2Br6
1.0
-1.431 -2.261 6.857
3.479 -5.881 2.737
5.747 1.406 5.613
Pa Ag Br
1 2 6
direct
0.333 0.333 0.000
0.737 0.737 0.790
0.593 0.593 0.222
0.729 0.400 0.757
0.114 0.729 0.757
0.400 0.114 0.757
0.236 0.572 0.240
0.952 0.236 0.240
0.572 0.952 0.240
```


No. 5
Compound: Rb2PaAg3Br12
Source: Alexandria via LeMat-Bulk
Functional: PBE
Structure: relaxed

The structure in POSCAR format:
```
Rb2PaAg3Br12
1.0
-10.544 3.071 -3.465
-10.255 -5.036 1.442
-9.315 3.260 5.934
Rb Pa Ag Br
2 1 3 12
direct
0.574 0.574 0.574
0.426 0.426 0.426
0.000 0.000 0.000
0.500 0.000 0.000
0.000 0.500 0.000
0.000 0.000 0.500
0.328 0.328 0.918
0.915 0.915 0.324
0.324 0.915 0.915
0.918 0.328 0.328
0.915 0.324 0.915
0.328 0.918 0.328
0.672 0.672 0.082
0.085 0.085 0.676
0.676 0.085 0.085
0.082 0.672 0.672
0.085 0.676 0.085
0.672 0.082 0.672
```


No. 6
Compound: RbPaAg2Br8
Source: Alexandria via LeMat-Bulk
Functional: PBE
Structure: relaxed

The structure in POSCAR format:
```
RbPaAg2Br8
1.0
6.965 -0.600 0.070
2.681 6.456 0.070
0.565 0.343 10.330
Rb Pa Ag Br
1 1 2 8
direct
0.000 0.000 0.500
0.000 0.000 0.000
0.731 0.731 0.235
0.269 0.269 0.765
0.781 0.244 0.813
0.755 0.755 0.987
0.697 0.697 0.473
0.303 0.303 0.527
0.245 0.245 0.013
0.244 0.781 0.813
0.756 0.219 0.187
0.219 0.756 0.187
```


No. 7
Compound: PaTlAg2Br8
Source: Alexandria via LeMat-Bulk
Functional: PBE
Structure: relaxed

The structure in POSCAR format:
```
PaTlAg2Br8
1.0
-2.312 2.089 6.236
-6.865 0.437 -1.125
-1.590 -9.116 3.029
Pa Tl Ag Br
1 1 2 8
direct
0.000 0.000 0.000
0.000 0.000 0.500
0.722 0.722 0.255
0.278 0.278 0.745
0.792 0.225 0.801
0.743 0.743 0.991
0.700 0.700 0.509
0.300 0.300 0.490
0.257 0.257 0.009
0.225 0.792 0.801
0.775 0.208 0.199
0.208 0.775 0.199
```


No. 8
Compound: PaTlAgBr6
Source: Alexandria via LeMat-Bulk
Functional: PBE
Structure: relaxed

The structure in POSCAR format:
```
PaTlAgBr6
1.0
7.327 0.000 0.000
-3.663 6.345 0.000
0.000 0.000 14.874
Pa Tl Ag Br
2 2 2 12
direct
0.667 0.333 0.250
0.333 0.667 0.750
0.000 0.000 0.000
0.000 0.000 0.500
0.333 0.667 0.250
0.667 0.333 0.750
0.644 0.634 0.139
0.990 0.356 0.139
0.356 0.990 0.639
0.010 0.644 0.861
0.366 0.356 0.361
0.990 0.634 0.361
0.634 0.990 0.861
0.644 0.010 0.361
0.010 0.366 0.639
0.366 0.010 0.139
0.634 0.644 0.639
0.356 0.366 0.861
```


Number 1: raw formation energy -0.808 eV per atom, calculated total energy -3.41 eV/atom. Number 2: raw formation energy -0.783 eV per atom, calculated total energy -3.33 eV/atom. Number 3: raw formation energy -0.824 eV per atom, calculated total energy -4.00 eV/atom. Number 4: raw formation energy -0.942 eV per atom, calculated total energy -3.75 eV/atom. Number 5: raw formation energy -0.967 eV per atom, calculated total energy -3.19 eV/atom. Number 6: raw formation energy -1.077 eV per atom, calculated total energy -3.54 eV/atom. Number 7: raw formation energy -0.921 eV per atom, calculated total energy -3.50 eV/atom. Number 8: raw formation energy -1.090 eV per atom, calculated total energy -3.84 eV/atom.